RbZn2BCl2O3 | GGA-PBE | relaxed

Geometry as POSCAR:
```
RbZn2BCl2O3
1.0
-2.9002 -2.9394 2.8265
2.8766 -2.0094 -3.5675
19.9127 -2.7294 17.5937
B Cl O Rb Zn
3 6 9 3 6
Cartesian
-0.9746 -2.6294 0.6951
7.5887 -3.2292 4.4285
13.2750 -1.8196 11.7290
3.1741 -2.6241 0.5279
3.4415 -3.2347 4.5969
8.8598 -1.2144 7.8280
12.0036 -3.8343 8.3292
14.5226 -4.7535 14.3875
17.6896 -2.4247 15.6295
-1.7675 -2.0756 1.6784
-0.1753 -1.8192 -0.0838
-0.9810 -3.9933 0.4909
6.7959 -2.6752 5.4119
8.3883 -2.4191 3.6493
7.5822 -4.5933 4.2244
11.1739 -3.9489 13.7765
13.2684 -3.1832 11.5246
15.3589 -3.2753 9.1444
3.3194 -0.4550 2.9328
8.9819 -3.9941 9.4921
17.5445 -4.5938 13.2248
1.4893 -2.3932 -0.9606
5.1253 -3.4655 6.0846
7.1762 -0.9836 6.3405
13.6883 -4.0653 9.8177
12.8381 -4.5226 12.8992
19.3741 -2.6556 17.1178
```

Results
raw total energy = -5.04 eV/atom
space-group type = R32, No. 155